Rb2CeCuBr6 | PBE-GGA | optimized geometry

a = 7.903 Å, b = 7.903 Å, c = 7.903 Å
α = 60.00°, β = 60.00°, γ = 60.00°
Fractional positions:
Rb  0.250  0.250  0.250
Rb  0.750  0.750  0.750
Ce  0.000  0.000  0.000
Cu  0.500  0.500  0.500
Br  0.260  0.260  0.740
Br  0.260  0.740  0.260
Br  0.260  0.740  0.740
Br  0.740  0.260  0.260
Br  0.740  0.260  0.740
Br  0.740  0.740  0.260

The crystal system is cubic. As for the relative energy among the computed polymorphs: 19 meV/atom.

Mg2In4Sn | PBE-GGA | optimized geometry

a = 11.677 Å, b = 11.677 Å, c = 11.677 Å
α = 159.74°, β = 159.74°, γ = 28.80°
Fractional positions:
Mg  0.071  0.071  0.000
Mg  0.929  0.929  0.000
In  0.250  0.750  0.500
In  0.363  0.363  0.000
In  0.637  0.637  0.000
In  0.750  0.250  0.500
Sn  0.500  0.500  0.000

The crystal system is tetragonal. As for the relative energy among the computed polymorphs: 24 meV/atom. As for the formation enthalpy at 0 K: 0.080 eV/atom.

CaLa3Tc | PBE-GGA | optimized geometry

a = 11.214 Å, b = 11.214 Å, c = 5.913 Å
α = 102.32°, β = 102.32°, γ = 28.85°
Fractional positions:
Ca  0.191  0.191  0.443
Ca  0.809  0.809  0.557
La  0.063  0.063  0.840
La  0.314  0.314  0.043
La  0.429  0.429  0.621
La  0.571  0.571  0.379
La  0.686  0.686  0.957
La  0.937  0.937  0.160
Tc  0.434  0.434  0.083
Tc  0.566  0.566  0.917

The crystal system is monoclinic. As for the relative energy among the computed polymorphs: 39 meV/atom. As for the formation enthalpy at 0 K: 0.023 eV/atom.

SrCuOs2 | PBE-GGA | optimized geometry

a = 5.880 Å, b = 5.880 Å, c = 5.880 Å
α = 152.17°, β = 133.65°, γ = 54.93°
Fractional positions:
Sr  0.000  0.000  0.000
Cu  0.500  0.500  0.000
Os  0.283  0.783  0.500
Os  0.717  0.217  0.500

The crystal system is orthorhombic. As for the relative energy among the computed polymorphs: 522 meV/atom. As for the formation enthalpy at 0 K: 0.679 eV/atom.

CeMgScTl | PBE-GGA | optimized geometry

a = 5.277 Å, b = 5.277 Å, c = 5.277 Å
α = 60.00°, β = 60.00°, γ = 60.00°
Fractional positions:
Ce  0.000  0.000  0.000
Mg  0.250  0.250  0.250
Sc  0.500  0.500  0.500
Tl  0.750  0.750  0.750

The crystal system is cubic. As for the formation enthalpy at 0 K: -0.122 eV/atom.

Sm8As6P | PBE-GGA | optimized geometry

a = 10.269 Å, b = 10.269 Å, c = 4.450 Å
α = 90.00°, β = 90.00°, γ = 120.00°
Fractional positions:
Sm  0.030  0.310  0.238
Sm  0.280  0.970  0.238
Sm  0.310  0.280  0.762
Sm  0.333  0.667  0.754
Sm  0.667  0.333  0.246
Sm  0.690  0.720  0.238
Sm  0.720  0.030  0.762
Sm  0.970  0.690  0.762
As  0.122  0.649  0.257
As  0.351  0.473  0.257
As  0.473  0.122  0.743
As  0.527  0.878  0.257
As  0.649  0.527  0.743
As  0.878  0.351  0.743
P  0.000  0.000  0.000

The crystal system is trigonal. As for the formation enthalpy at 0 K: -1.086 eV/atom.

Ca2Nd2GaRh4 | PBE-GGA | optimized geometry

a = 6.516 Å, b = 6.516 Å, c = 6.516 Å
α = 118.61°, β = 118.61°, γ = 92.43°
Fractional positions:
Ca  0.250  0.750  0.500
Ca  0.750  0.250  0.500
Nd  0.187  0.187  0.000
Nd  0.813  0.813  0.000
Ga  0.500  0.500  0.000
Rh  0.240  0.240  0.481
Rh  0.240  0.760  0.000
Rh  0.760  0.240  0.000
Rh  0.760  0.760  0.519

The crystal system is tetragonal. As for the formation enthalpy at 0 K: -0.330 eV/atom.

Tl3GaAu | PBE-GGA | optimized geometry

a = 5.431 Å, b = 5.431 Å, c = 5.431 Å
α = 90.00°, β = 90.00°, γ = 90.00°
Fractional positions:
Tl  0.000  0.000  0.500
Tl  0.000  0.500  0.000
Tl  0.500  0.000  0.000
Ga  0.000  0.000  0.000
Au  0.500  0.500  0.500

The crystal system is cubic. As for the relative energy among the computed polymorphs: 44 meV/atom. As for the formation enthalpy at 0 K: 0.331 eV/atom.

Result set for spin magnetization: 1.000, 0.000, 0.000, 0.000, 1.090, 0.000, 0.000, 0.000 Bohr magnetons per cell, one per record in the order listed.
Result set for DFT total energy: -3.64, -2.51, -5.41, -6.38, -4.18, -5.82, -5.44, -2.35 eV per atom, one per record in the order listed.